Entry from Alexandria: a relaxed Sr2ReW crystal (PBE).

Lattice parameters (Å, degrees): 2.863 2.863 10.775 90.00 90.00 93.41
Element x y z (fractional)
Sr 0.000 0.000 0.245
Sr 0.000 0.000 0.755
Re 0.500 0.500 0.000
W 0.500 0.500 0.500

Results
* distance to the lowest polymorph of the same formula: 809 meV per atom
* energy relative to the elements: 1.333 eV per atom

Entry from Alexandria: a relaxed PmAlGaAu2 crystal (PBE).

Lattice parameters (Å, degrees): 6.490 6.490 6.490 141.78 141.78 55.16
Element x y z (fractional)
Pm 0.000 0.000 0.000
Al 0.750 0.250 0.500
Ga 0.250 0.750 0.500
Au 0.381 0.381 0.000
Au 0.619 0.619 0.000

Results
* energy relative to the elements: -0.664 eV per atom

Entry from Alexandria: a relaxed CeNpSb2 crystal (PBE).

Lattice parameters (Å, degrees): 7.668 7.668 7.668 33.84 33.84 33.84
Element x y z (fractional)
Ce 0.000 0.000 0.000
Np 0.500 0.500 0.500
Sb 0.248 0.248 0.248
Sb 0.752 0.752 0.752

Results
* distance to the lowest polymorph of the same formula: 0 meV per atom
* formation energy from raw total energies: -0.617 eV/atom

Entry from Alexandria: a relaxed Nd4SbSe2S crystal (PBE).

Lattice parameters (Å, degrees): 8.555 8.555 8.555 120.28 119.78 89.95
Element x y z (fractional)
Nd 0.258 0.248 0.490
Nd 0.258 0.768 0.010
Nd 0.260 0.245 0.015
Nd 0.269 0.755 0.515
Nd 0.731 0.245 0.485
Nd 0.740 0.755 0.985
Nd 0.742 0.232 0.990
Nd 0.742 0.752 0.510
Sb 0.000 0.500 0.500
Sb 0.500 0.500 0.000
Se 0.000 0.000 0.000
Se 0.000 0.000 0.500
Se 0.000 0.500 0.000
Se 0.500 0.000 0.500
S 0.500 0.000 0.000
S 0.500 0.500 0.500

Results
* formation energy from raw total energies: -1.700 eV/atom

Entry from Alexandria: a relaxed Tb3DyPb3 crystal (PBE).

Lattice parameters (Å, degrees): 8.137 8.137 8.137 69.05 69.05 69.05
Element x y z (fractional)
Tb 0.090 0.832 0.338
Tb 0.168 0.662 0.910
Tb 0.338 0.090 0.832
Tb 0.662 0.910 0.168
Tb 0.832 0.338 0.090
Tb 0.910 0.168 0.662
Dy 0.331 0.331 0.331
Dy 0.669 0.669 0.669
Pb 0.083 0.470 0.687
Pb 0.313 0.917 0.530
Pb 0.470 0.687 0.083
Pb 0.530 0.313 0.917
Pb 0.687 0.083 0.470
Pb 0.917 0.530 0.313

Results
* energy relative to the elements: -0.363 eV per atom

Entry from Alexandria: a relaxed Sr2Pt2Rh crystal (PBE).

Lattice parameters (Å, degrees): 5.870 5.870 5.870 133.58 125.06 74.71
Element x y z (fractional)
Sr 0.196 0.196 0.000
Sr 0.804 0.804 0.000
Pt 0.248 0.500 0.748
Pt 0.752 0.500 0.252
Rh 0.500 0.000 0.500

Results
* distance to the lowest polymorph of the same formula: 0 meV per atom
* energy relative to the elements: -0.672 eV per atom

Entry from Alexandria: a relaxed CaCdS2 crystal (PBE).

Lattice parameters (Å, degrees): 5.667 4.180 16.147 90.00 90.00 90.00
Element x y z (fractional)
Ca 0.250 0.250 0.068
Ca 0.250 0.750 0.568
Ca 0.750 0.250 0.432
Ca 0.750 0.750 0.932
Cd 0.248 0.250 0.834
Cd 0.252 0.750 0.334
Cd 0.748 0.250 0.666
Cd 0.752 0.750 0.166
S 0.250 0.250 0.438
S 0.250 0.250 0.677
S 0.250 0.750 0.177
S 0.250 0.750 0.938
S 0.750 0.250 0.062
S 0.750 0.250 0.823
S 0.750 0.750 0.323
S 0.750 0.750 0.562

Results
* formation energy from raw total energies: -1.309 eV/atom

Entry from Alexandria: a relaxed K2Na5Tl crystal (PBE).

Lattice parameters (Å, degrees): 7.643 7.643 7.922 121.04 121.04 62.43
Element x y z (fractional)
K 0.000 0.000 0.000
K 0.500 0.500 0.498
Na 0.047 0.047 0.547
Na 0.519 0.987 0.018
Na 0.519 0.989 0.488
Na 0.987 0.519 0.018
Na 0.989 0.519 0.488
Tl 0.427 0.427 0.926

Results
* distance to the lowest polymorph of the same formula: 9 meV per atom
* energy relative to the elements: 0.015 eV per atom

Entry from Alexandria: a relaxed PuCd3Hg crystal (PBE).

Lattice parameters (Å, degrees): 5.994 6.304 6.555 88.99 82.93 82.57
Element x y z (fractional)
Pu 0.245 0.364 0.125
Pu 0.755 0.636 0.875
Cd 0.054 0.169 0.627
Cd 0.276 0.550 0.623
Cd 0.448 0.879 0.325
Cd 0.552 0.121 0.675
Cd 0.724 0.450 0.377
Cd 0.946 0.831 0.373
Hg 0.228 0.857 0.951
Hg 0.772 0.143 0.049

Results
* distance to the lowest polymorph of the same formula: 9 meV per atom
* energy relative to the elements: -0.056 eV per atom

Entry from Alexandria: a relaxed PrBeFe2Si2 crystal (PBE).

Lattice parameters (Å, degrees): 4.021 4.021 5.366 90.00 90.00 90.00
Element x y z (fractional)
Pr 0.000 0.000 0.000
Be 0.000 0.000 0.500
Fe 0.000 0.500 0.500
Fe 0.500 0.000 0.500
Si 0.500 0.500 0.255
Si 0.500 0.500 0.745

Results
* formation energy from raw total energies: -0.387 eV/atom

Entry from Alexandria: a relaxed KPm2AgS4 crystal (PBE).

Lattice parameters (Å, degrees): 7.200 7.200 14.422 90.00 90.00 146.64
Element x y z (fractional)
K 0.115 0.885 0.750
K 0.885 0.115 0.250
Pm 0.368 0.632 0.565
Pm 0.368 0.632 0.935
Pm 0.632 0.368 0.065
Pm 0.632 0.368 0.435
Ag 0.161 0.839 0.250
Ag 0.839 0.161 0.750
S 0.000 0.000 0.000
S 0.000 0.000 0.500
S 0.265 0.735 0.105
S 0.265 0.735 0.395
S 0.444 0.556 0.750
S 0.556 0.444 0.250
S 0.735 0.265 0.605
S 0.735 0.265 0.895

Results
* formation energy from raw total energies: -1.589 eV/atom